Pr2Tm6In after structural relaxation. Source: Alexandria via LeMat-Bulk, functional PBE.

Properties
Space group ... Immm, No. 71
E_form ... -0.0189 eV per atom

Lattice parameters (Å, degrees): 3.480 10.131 9.550 122.03 100.47 90.00
Fractional coordinates of all 9 atoms:
Tm1 0.500 0.710 0.000
Tm2 0.177 0.015 0.354
Pr1 0.150 0.650 0.300
Tm3 0.500 0.290 0.000
Tm4 0.823 0.985 0.646
Tm5 0.823 0.661 0.646
Pr2 0.850 0.350 0.700
Tm6 0.177 0.339 0.354
In1 0.000 0.000 0.000


Pr12Tm2In after structural relaxation. Source: Alexandria via LeMat-Bulk, functional PBE.

Properties
Space group ... P4/nbm, No. 125
E_form ... 0.2372 eV per atom

Lattice parameters (Å, degrees): 6.759 6.759 24.138 90.00 90.00 90.00
Fractional coordinates of all 30 atoms:
In1 0.500 0.000 0.000
Pr1 0.833 0.667 0.434
Pr2 0.500 0.500 0.201
Pr3 0.247 0.747 0.091
Tm1 0.500 0.000 0.746
Pr4 0.000 0.000 0.672
Pr5 0.000 0.000 0.328
Pr6 0.000 0.000 0.799
Tm2 0.000 0.500 0.746
Pr7 0.753 0.253 0.091
Pr8 0.333 0.833 0.434
In2 0.000 0.500 0.000
Pr9 0.167 0.333 0.434
Tm3 0.500 0.000 0.254
Pr10 0.333 0.167 0.566
Pr11 0.500 0.500 0.328
Pr12 0.833 0.333 0.566
Pr13 0.167 0.667 0.566
Pr14 0.000 0.000 0.201
Pr15 0.253 0.247 0.091
Tm4 0.000 0.500 0.254
Pr16 0.247 0.253 0.909
Pr17 0.500 0.500 0.799
Pr18 0.747 0.247 0.909
Pr19 0.253 0.753 0.909
Pr20 0.667 0.833 0.566
Pr21 0.667 0.167 0.434
Pr22 0.500 0.500 0.672
Pr23 0.753 0.747 0.909
Pr24 0.747 0.753 0.091


Pr4Tm5In after structural relaxation. Source: Alexandria via LeMat-Bulk, functional PBE.

Properties
Space group ... I4mm, No. 107
Energy relative to the lowest polymorph listed for this composition ... 143.3 meV/atom
E_form ... 0.0620 eV per atom

Lattice parameters (Å, degrees): 5.786 8.140 8.140 82.74 69.18 69.18
Fractional coordinates of all 10 atoms:
Pr1 0.457 0.689 0.311
Tm1 0.141 0.000 0.633
Tm2 0.774 0.367 0.000
Tm3 0.141 0.633 0.000
In1 0.183 0.000 0.000
Pr2 0.147 0.311 0.311
Pr3 0.457 0.311 0.689
Tm4 0.669 0.000 0.000
Tm5 0.774 0.000 0.367
Pr4 0.768 0.689 0.689


Pr4TmIn after structural relaxation. Source: Alexandria via LeMat-Bulk, functional PBE.

Properties
Space group ... Cmcm, No. 63
Energy relative to the lowest polymorph listed for this composition ... 0.0 meV/atom
E_form ... -0.0567 eV per atom

Lattice parameters (Å, degrees): 3.627 7.020 15.585 90.00 96.68 90.00
Fractional coordinates of all 12 atoms:
In1 0.580 0.750 0.160
Tm1 0.257 0.750 0.514
Pr1 0.840 0.009 0.680
Pr2 0.840 0.491 0.680
Pr3 0.417 0.750 0.835
Pr4 0.000 0.500 0.000
Pr5 0.000 0.000 0.000
Pr6 0.160 0.991 0.320
Tm2 0.743 0.250 0.486
Pr7 0.583 0.250 0.165
In2 0.420 0.250 0.840
Pr8 0.160 0.509 0.320


PrTmIn6 after structural relaxation. Source: Alexandria via LeMat-Bulk, functional PBE.

Properties
Space group ... P-6m2, No. 187
Energy relative to the lowest polymorph listed for this composition ... 60.4 meV/atom
E_form ... -0.3591 eV per atom

Lattice parameters (Å, degrees): 5.320 6.672 6.672 119.98 90.00 90.00
Fractional coordinates of all 8 atoms:
In1 0.500 0.914 0.086
Pr1 0.500 0.417 0.583
In2 0.500 0.913 0.577
In3 0.500 0.423 0.087
In4 0.000 0.592 0.935
Tm1 0.000 0.083 0.917
In5 0.000 0.592 0.408
In6 0.000 0.065 0.408


Pr2Tm2In after structural relaxation. Source: Alexandria via LeMat-Bulk, functional PBE.

Properties
Space group ... P6_3/mmc, No. 194
Energy relative to the lowest polymorph listed for this composition ... 0.0 meV/atom
E_form ... -0.0447 eV per atom

Lattice parameters (Å, degrees): 5.469 5.469 12.203 90.00 90.00 120.00
Fractional coordinates of all 10 atoms:
Pr1 0.333 0.667 0.911
Tm1 0.000 0.000 0.000
Pr2 0.667 0.333 0.411
Pr3 0.333 0.667 0.589
In1 0.000 0.000 0.750
In2 0.000 0.000 0.250
Tm2 0.333 0.667 0.250
Pr4 0.667 0.333 0.089
Tm3 0.000 0.000 0.500
Tm4 0.667 0.333 0.750


Pr5TmIn2 after structural relaxation. Source: Alexandria via LeMat-Bulk, functional PBE.

Properties
Space group ... I4/mmm, No. 139
E_form ... -0.2695 eV per atom

Lattice parameters (Å, degrees): 7.042 7.042 7.062 119.91 119.91 90.00
Fractional coordinates of all 8 atoms:
Pr1 0.722 0.722 0.444
In1 0.222 0.722 0.444
Pr2 0.722 0.722 0.944
Tm1 0.222 0.222 0.445
Pr3 0.722 0.222 0.944
Pr4 0.222 0.722 0.944
Pr5 0.222 0.222 0.944
In2 0.722 0.222 0.444


PrTmIn2 after structural relaxation. Source: Alexandria via LeMat-Bulk, functional PBE.

Properties
Space group ... R-3m, No. 166
E_form ... -0.2962 eV per atom

Lattice parameters (Å, degrees): 3.727 3.727 10.104 79.37 79.37 60.00
Fractional coordinates of all 4 atoms:
Tm1 0.000 0.000 0.000
In1 0.254 0.254 0.239
Pr1 0.500 0.500 0.500
In2 0.746 0.746 0.761


Pr4TmIn2 after structural relaxation. Source: Alexandria via LeMat-Bulk, functional PBE.

Properties
Space group ... R-3m, No. 166
Energy relative to the lowest polymorph listed for this composition ... 0.0 meV/atom
E_form ... -0.0114 eV per atom

Lattice parameters (Å, degrees): 5.634 5.634 9.572 72.88 72.88 60.00
Fractional coordinates of all 7 atoms:
In1 0.112 0.112 0.664
Pr1 0.769 0.769 0.693
Pr2 0.629 0.629 0.114
Pr3 0.231 0.231 0.307
Tm1 0.000 0.000 0.000
Pr4 0.371 0.371 0.886
In2 0.888 0.888 0.336


PrTmIn2 after structural relaxation. Source: Alexandria via LeMat-Bulk, functional PBE.

Properties
Space group ... P4/mmm, No. 123
E_form ... -0.4498 eV per atom

Lattice parameters (Å, degrees): 4.465 4.973 4.973 90.00 90.00 90.00
Fractional coordinates of all 4 atoms:
In1 0.000 0.000 0.500
Tm1 0.500 0.500 0.500
In2 0.000 0.500 0.000
Pr1 0.500 0.000 0.000


Pr6TmIn after structural relaxation. Source: Alexandria via LeMat-Bulk, functional PBE.

Properties
Space group ... P4/mmm, No. 123
E_form ... -0.1220 eV per atom

Lattice parameters (Å, degrees): 5.070 5.070 10.345 90.00 90.00 90.00
Fractional coordinates of all 8 atoms:
Pr1 0.500 0.500 0.500
Tm1 0.000 0.000 0.500
Pr2 0.500 0.000 0.244
Pr3 0.500 0.500 0.000
Pr4 0.000 0.500 0.756
Pr5 0.000 0.500 0.244
Pr6 0.500 0.000 0.756
In1 0.000 0.000 0.000


Pr3Tm4In2 after structural relaxation. Source: Alexandria via LeMat-Bulk, functional PBE.

Properties
Space group ... C2/c, No. 15
E_form ... -0.1034 eV per atom

Lattice parameters (Å, degrees): 6.485 9.360 9.360 92.09 86.63 86.63
Fractional coordinates of all 18 atoms:
Pr1 0.909 0.039 0.182
Tm1 0.589 0.108 0.675
Tm2 0.094 0.175 0.523
Pr2 0.591 0.818 0.961
Pr3 0.409 0.182 0.039
In1 0.466 0.780 0.634
Tm3 0.911 0.325 0.892
In2 0.966 0.634 0.780
Pr4 0.091 0.961 0.818
Tm4 0.089 0.675 0.108
In3 0.034 0.366 0.220
Pr5 0.750 0.463 0.537
Tm5 0.594 0.523 0.175
Tm6 0.906 0.825 0.477
Tm7 0.406 0.477 0.825
In4 0.534 0.220 0.366
Tm8 0.411 0.892 0.325
Pr6 0.250 0.537 0.463


Sequential spin magnetization output: 0.00, 0.00, 0.00, 0.00, 0.00, 0.00, 0.00, 0.00, 0.00, 0.00, 0.00, 0.00 μB per atom
Sequential E_tot output: -4.366, -4.365, -4.359, -4.445, -3.569, -4.293, -4.500, -3.978, -4.164, -4.132, -4.608, -4.292 eV per atom
Sequential V output: 30.98, 36.76, 33.50, 32.84, 25.64, 31.61, 31.04, 29.69, 35.36, 27.60, 33.24, 31.43 Å³ per atom